[1]
A relaxed structure of Na12MgCd7. Source: Alexandria via LeMat-Bulk, functional PBE. Values from VASP.

```
&SYSTEM
  ibrav = 0, nat = 20, ntyp = 3
/
ATOMIC_SPECIES
Na 22.99 Na.upf
Mg 24.30 Mg.upf
Cd 112.41 Cd.upf
CELL_PARAMETERS angstrom
6.615 3.819 3.676
-6.615 3.819 3.676
0.000 -7.638 3.676
ATOMIC_POSITIONS angstrom
Na 4.839 -0.755 7.353
Na -4.839 0.755 3.674
Na -0.009 -1.918 2.750
Na -1.657 0.967 2.750
Na 1.766 -4.569 3.674
Na -3.074 -3.813 7.353
Na 1.665 0.952 2.750
Na -1.665 -0.952 8.278
Na 3.074 3.813 3.674
Na -1.766 4.569 7.353
Na 1.657 -0.967 8.278
Na 0.009 1.918 8.278
Mg 0.000 0.000 5.514
Cd 0.000 0.000 0.000
Cd -2.623 -1.511 4.953
Cd -0.003 -3.027 6.075
Cd -2.620 1.516 6.075
Cd 2.620 -1.516 4.953
Cd 0.003 3.027 4.953
Cd 2.623 1.511 6.075
```

Output
ΔH_f (0 K) ... -0.05 eV/atom
Electronic total energy ... -24.8 eV for the cell shown
SG ... R-3, No. 148
DOS(E_F) ... 9.64 states/eV/cell
E above lowest polymorph ... 5 meV per atom

[2]
A relaxed structure of NaLaRhPb2. Source: Alexandria via LeMat-Bulk, functional PBE. Values from VASP.

```
&SYSTEM
  ibrav = 0, nat = 5, ntyp = 4
/
ATOMIC_SPECIES
Na 22.99 Na.upf
La 138.91 La.upf
Rh 102.91 Rh.upf
Pb 207.20 Pb.upf
CELL_PARAMETERS angstrom
6.288 0.000 0.000
0.000 6.288 0.000
0.000 0.000 4.887
ATOMIC_POSITIONS angstrom
Na 0.000 0.000 0.000
La 3.144 3.144 2.443
Rh 3.144 3.144 0.000
Pb 0.000 3.144 2.443
Pb 3.144 0.000 2.443
```

Output
ΔH_f (0 K) ... 0.42 eV/atom
Electronic total energy ... -18.9 eV for the cell shown
SG ... P4/mmm, No. 123
DOS(E_F) ... 4.05 states/eV/cell